[1]
Entry from Alexandria via LeMat-Bulk: an optimized crystal structure of In2GaSnHg6 (PBE).

Properties
Crystal system: triclinic
Energy relative to the elements in eV per atom: 0.05

a = 6.177 Å, b = 6.926 Å, c = 7.050 Å
α = 79.49°, β = 66.70°, γ = 75.10°
Positions (direct):
1 In 0.000 0.000 0.000
2 In 0.436 0.459 0.616
3 Ga 0.493 0.216 0.275
4 Sn 0.882 0.671 0.825
5 Hg 0.193 0.885 0.395
6 Hg 0.361 0.589 0.049
7 Hg 0.500 0.081 0.900
8 Hg 0.669 0.838 0.478
9 Hg 0.905 0.402 0.208
10 Hg 0.995 0.283 0.615


[2]
Entry from Alexandria via LeMat-Bulk: an optimized crystal structure of Li2Tl2I (PBE).

Properties
Formation energy without anion corrections in eV/atom: -0.085
Energy above the most stable polymorph in this dataset in meV per atom: 217
Crystal system: tetragonal

a = 4.599 Å, b = 4.599 Å, c = 14.015 Å
α = 90.00°, β = 90.00°, γ = 90.00°
Positions (direct):
1 Li 0.000 0.500 0.250
2 Li 0.000 0.500 0.750
3 Li 0.500 0.000 0.250
4 Li 0.500 0.000 0.750
5 Tl 0.000 0.000 0.105
6 Tl 0.000 0.000 0.895
7 Tl 0.500 0.500 0.395
8 Tl 0.500 0.500 0.605
9 I 0.000 0.000 0.500
10 I 0.500 0.500 0.000


[3]
Entry from Alexandria via LeMat-Bulk: an optimized crystal structure of K2AlVS4 (PBE).

Properties
Formation energy without anion corrections in eV/atom: -1.106
Crystal system: orthorhombic

a = 13.204 Å, b = 11.703 Å, c = 7.368 Å
α = 84.38°, β = 61.89°, γ = 33.73°
Positions (direct):
1 K 0.054 0.054 0.696
2 K 0.304 0.304 0.946
3 K 0.696 0.696 0.054
4 K 0.946 0.946 0.304
5 Al 0.125 0.125 0.125
6 Al 0.875 0.875 0.875
7 V 0.375 0.375 0.375
8 V 0.625 0.625 0.625
9 S 0.031 0.324 0.412
10 S 0.267 0.588 0.676
11 S 0.324 0.031 0.733
12 S 0.412 0.733 0.031
13 S 0.588 0.267 0.969
14 S 0.676 0.969 0.267
15 S 0.733 0.412 0.324
16 S 0.969 0.676 0.588


[4]
Entry from Alexandria via LeMat-Bulk: an optimized crystal structure of CuMo2Pd (PBE).

Properties
Energy above the most stable polymorph in this dataset in meV per atom: 0
Crystal system: cubic
Energy relative to the elements in eV per atom: 0.51

a = 6.223 Å, b = 6.223 Å, c = 6.223 Å
α = 90.00°, β = 90.00°, γ = 90.00°
Positions (direct):
1 Cu 0.000 0.000 0.000
2 Cu 0.000 0.500 0.500
3 Cu 0.500 0.000 0.500
4 Cu 0.500 0.500 0.000
5 Mo 0.250 0.250 0.250
6 Mo 0.250 0.250 0.750
7 Mo 0.250 0.750 0.250
8 Mo 0.250 0.750 0.750
9 Mo 0.750 0.250 0.250
10 Mo 0.750 0.250 0.750
11 Mo 0.750 0.750 0.250
12 Mo 0.750 0.750 0.750
13 Pd 0.000 0.000 0.500
14 Pd 0.000 0.500 0.000
15 Pd 0.500 0.000 0.000
16 Pd 0.500 0.500 0.500


Number 1: calculated total energy -0.1018 Ry/atom. Number 2: calculated total energy -0.1549 Ry/atom. Number 3: calculated total energy -0.3713 Ry/atom. Number 4: calculated total energy -0.5312 Ry/atom.